Density functional theory data (PBE-GGA) for an optimized crystal structure of Rb3Hg2F.

Cell and atoms, written as CIF:
```
data_Rb3Hg2F
_chemical_formula_sum 'Rb12 Hg8 F4'
_cell_length_a 12.188
_cell_length_b 10.404
_cell_length_c 7.858
_cell_angle_alpha 90.00
_cell_angle_beta 90.18
_cell_angle_gamma 90.00
_symmetry_space_group_name_H-M 'C 1 2/c 1'
_symmetry_Int_Tables_number 15
loop_
_symmetry_equiv_pos_as_xyz
'x,y,z'
'-x,-y,-z'
'-x,y,-z+1/2'
'x,-y,z+1/2'
'x+1/2,y+1/2,z'
'-x+1/2,-y+1/2,-z'
'-x+1/2,y+1/2,-z+1/2'
'x+1/2,-y+1/2,z+1/2'
loop_
_atom_site_label
_atom_site_fract_x
_atom_site_fract_y
_atom_site_fract_z
Rb1 0.000 0.167 0.250
Rb2 0.152 0.497 0.999
Hg1 0.122 0.174 0.746
F1 0.000 0.432 0.250
```

Output
E_form (uncorrected): -0.987 eV/atom

=====

Density functional theory data (PBE-GGA) for an optimized crystal structure of Tm6In2C.

Cell and atoms, written as CIF:
```
data_Tm6In2C
_chemical_formula_sum 'Tm24 In8 C4'
_cell_length_a 9.638
_cell_length_b 9.638
_cell_length_c 9.638
_cell_angle_alpha 90.00
_cell_angle_beta 90.00
_cell_angle_gamma 90.00
_symmetry_space_group_name_H-M 'F m -3 m'
_symmetry_Int_Tables_number 225
_symmetry_space_group_name_Hall '-F 4 2 3'
loop_
_atom_site_label
_atom_site_fract_x
_atom_site_fract_y
_atom_site_fract_z
Tm1 0.000 0.000 0.246
In1 0.250 0.250 0.250
C1 0.000 0.000 0.000
```

Output
Energy above the most stable polymorph in this dataset: 0 meV per atom
Energy of formation from the pure elements: -0.421 eV/atom

=====

Density functional theory data (PBE-GGA) for an optimized crystal structure of Cd3Pt2Au7.

Cell and atoms, written as CIF:
```
data_Cd3Pt2Au7
_chemical_formula_sum 'Cd3 Pt2 Au7'
_cell_length_a 5.298
_cell_length_b 2.915
_cell_length_c 14.308
_cell_angle_alpha 90.00
_cell_angle_beta 90.46
_cell_angle_gamma 90.00
_symmetry_space_group_name_H-M 'P 1 2/m 1'
_symmetry_Int_Tables_number 10
loop_
_symmetry_equiv_pos_as_xyz
'x,y,z'
'-x,-y,-z'
'-x,y,-z'
'x,-y,z'
loop_
_atom_site_label
_atom_site_fract_x
_atom_site_fract_y
_atom_site_fract_z
Cd1 0.000 0.000 0.000
Cd2 0.500 0.500 0.341
Pt1 0.005 0.000 0.327
Au1 0.178 0.500 0.833
Au2 0.249 0.000 0.502
Au3 0.327 0.000 0.169
Au4 0.500 0.500 0.000
```

Output
Energy of formation from the pure elements: -0.068 eV/atom

=====

Density functional theory data (PBE-GGA) for an optimized crystal structure of ZnCoRe.

Cell and atoms, written as CIF:
```
data_ZnCoRe
_chemical_formula_sum 'Zn1 Co1 Re1'
_cell_length_a 2.6941
_cell_length_b 2.6941
_cell_length_c 6.4272
_cell_angle_alpha 90.00
_cell_angle_beta 90.00
_cell_angle_gamma 120.00
_symmetry_space_group_name_H-M 'P 3 m 1'
_symmetry_Int_Tables_number 156
loop_
_symmetry_equiv_pos_as_xyz
'x,y,z'
'-y,x-y,z'
'-x+y,-x,z'
'-y,-x,z'
'-x+y,y,z'
'x,x-y,z'
loop_
_atom_site_label
_atom_site_fract_x
_atom_site_fract_y
_atom_site_fract_z
Zn1 0.0000 0.0000 0.0000
Co1 0.3333 0.6667 0.3237
Re1 0.6667 0.3333 0.6345
```

Output
Energy above the most stable polymorph in this dataset: 56 meV per atom
Energy of formation from the pure elements: 0.109 eV/atom

=====

Density functional theory data (PBE-GGA) for an optimized crystal structure of KMo3.

Cell and atoms, written as CIF:
```
data_KMo3
_chemical_formula_sum 'K1 Mo3'
_cell_length_a 3.239
_cell_length_b 3.709
_cell_length_c 8.138
_cell_angle_alpha 90.00
_cell_angle_beta 90.00
_cell_angle_gamma 90.00
_symmetry_space_group_name_H-M 'P m m m'
_symmetry_Int_Tables_number 47
loop_
_symmetry_equiv_pos_as_xyz
'x,y,z'
'-x,-y,-z'
'-x,-y,z'
'x,y,-z'
'x,-y,-z'
'-x,y,z'
'-x,y,-z'
'x,-y,z'
loop_
_atom_site_label
_atom_site_fract_x
_atom_site_fract_y
_atom_site_fract_z
K1 0.000 0.000 0.000
Mo1 0.000 0.000 0.500
Mo2 0.500 0.500 0.360
```

Output
Energy above the most stable polymorph in this dataset: 133 meV per atom
Energy of formation from the pure elements: 0.871 eV/atom

=====

Density functional theory data (PBE-GGA) for an optimized crystal structure of HgSbMo2N.

Cell and atoms, written as CIF:
```
data_HgSbMo2N
_chemical_formula_sum 'Hg1 Sb1 Mo2 N1'
_cell_length_a 4.090
_cell_length_b 4.090
_cell_length_c 5.468
_cell_angle_alpha 90.00
_cell_angle_beta 90.00
_cell_angle_gamma 90.00
_symmetry_space_group_name_H-M 'P 4/m m m'
_symmetry_Int_Tables_number 123
_symmetry_space_group_name_Hall '-P 4 2'
loop_
_atom_site_label
_atom_site_fract_x
_atom_site_fract_y
_atom_site_fract_z
Hg1 0.000 0.000 0.000
Sb1 0.500 0.500 0.000
Mo1 0.000 0.500 0.500
N1 0.000 0.000 0.500
```

Output
E_form (uncorrected): 0.583 eV/atom

=====

Density functional theory data (PBE-GGA) for an optimized crystal structure of U2I8Cl.

Cell and atoms, written as CIF:
```
data_U2I8Cl
_chemical_formula_sum 'U4 I16 Cl2'
_cell_length_a 18.456
_cell_length_b 12.806
_cell_length_c 6.116
_cell_angle_alpha 90.00
_cell_angle_beta 108.67
_cell_angle_gamma 90.00
_symmetry_space_group_name_H-M 'C 1 2/m 1'
_symmetry_Int_Tables_number 12
loop_
_symmetry_equiv_pos_as_xyz
'x,y,z'
'-x,-y,-z'
'-x,y,-z'
'x,-y,z'
'x+1/2,y+1/2,z'
'-x+1/2,-y+1/2,-z'
'-x+1/2,y+1/2,-z'
'x+1/2,-y+1/2,z'
loop_
_atom_site_label
_atom_site_fract_x
_atom_site_fract_y
_atom_site_fract_z
U1 0.155 0.000 0.160
I1 0.145 0.000 0.647
I2 0.149 0.225 0.150
I3 0.181 0.500 0.681
Cl1 0.000 0.000 0.000
```

Output
E_form (uncorrected): -0.822 eV/atom

=====

Density functional theory data (PBE-GGA) for an optimized crystal structure of Tb12Ho7Sc.

Cell and atoms, written as CIF:
```
data_Tb12Ho7Sc
_chemical_formula_sum 'Tb36 Ho21 Sc3'
_cell_length_a 13.1410
_cell_length_b 13.1410
_cell_length_c 12.6565
_cell_angle_alpha 90.00
_cell_angle_beta 90.00
_cell_angle_gamma 120.00
_symmetry_space_group_name_H-M 'R -3 m'
_symmetry_Int_Tables_number 166
_symmetry_space_group_name_Hall '-R 3 2"'
loop_
_atom_site_label
_atom_site_fract_x
_atom_site_fract_y
_atom_site_fract_z
Tb1 0.0000 0.2613 0.0000
Tb2 0.0889 0.1779 0.7673
Ho1 0.0000 0.0000 0.0000
Ho2 0.0476 0.5238 0.1165
Sc1 0.0000 0.0000 0.5000
```

Output
Energy above the most stable polymorph in this dataset: 0 meV per atom
Energy of formation from the pure elements: 0.113 eV/atom